Material: SrTi3H
Method: DFT, GGA-PBE
State: relaxed

Unit cell a=4.949 b=4.949 c=4.949 alpha=90.00 beta=90.00 gamma=90.00
Sites, in units of the cell vectors:
Sr 0.000 0.000 0.000
Ti 0.000 0.000 0.500
Ti 0.000 0.500 0.000
Ti 0.500 0.000 0.000
H 0.500 0.500 0.500

Properties
DOS(E_F) (states/eV per atom): 0.791
V (Å³ per atom): 24.2
Distance to the lowest polymorph of the same formula (meV per atom): 2082



Material: BeCuAg2
Method: DFT, GGA-PBE
State: relaxed

Unit cell a=5.126 b=5.126 c=5.126 alpha=147.10 beta=129.63 gamma=61.48
Sites, in units of the cell vectors:
Be 0.000 0.000 0.000
Cu 0.200 0.700 0.500
Ag 0.483 0.483 0.000
Ag 0.770 0.270 0.500

Properties
DOS(E_F) (states/eV per atom): 0.204
V (Å³ per atom): 14.0
ΔH_f (0 K) (kcal/mol of atoms): 2.739



Material: PmPrYTm
Method: DFT, GGA-PBE
State: relaxed

Unit cell a=5.744 b=5.744 c=5.744 alpha=60.00 beta=60.00 gamma=60.00
Sites, in units of the cell vectors:
Pm 0.000 0.000 0.000
Pr 0.500 0.500 0.500
Y 0.250 0.250 0.250
Tm 0.750 0.750 0.750

Properties
DOS(E_F) (states/eV per atom): 1.780
V (Å³ per atom): 33.5
Distance to the lowest polymorph of the same formula (meV per atom): 0
ΔH_f (0 K) (kcal/mol of atoms): 2.304



Material: DyHgSe2
Method: DFT, GGA-PBE
State: relaxed

Unit cell a=8.947 b=8.947 c=8.947 alpha=27.02 beta=27.02 gamma=27.02
Sites, in units of the cell vectors:
Dy 0.000 0.000 0.000
Hg 0.500 0.500 0.500
Se 0.393 0.393 0.393
Se 0.607 0.607 0.607

Properties
DOS(E_F) (states/eV per atom): 0.709
ΔE_f (raw) (eV/atom): -1.058
V (Å³ per atom): 32.6
Distance to the lowest polymorph of the same formula (meV per atom): 0



Material: HoMgZnPt
Method: DFT, GGA-PBE
State: relaxed

Unit cell a=4.771 b=4.771 c=4.771 alpha=60.00 beta=60.00 gamma=60.00
Sites, in units of the cell vectors:
Ho 0.000 0.000 0.000
Mg 0.500 0.500 0.500
Zn 0.250 0.250 0.250
Pt 0.750 0.750 0.750

Properties
DOS(E_F) (states/eV per atom): 0.929
V (Å³ per atom): 19.2
ΔH_f (0 K) (kcal/mol of atoms): -16.094



Material: TaPtCl2
Method: DFT, GGA-PBE
State: relaxed

Unit cell a=5.049 b=5.049 c=5.049 alpha=132.89 beta=132.89 gamma=68.83
Sites, in units of the cell vectors:
Ta 0.000 0.000 0.000
Pt 0.500 0.500 0.000
Cl 0.250 0.750 0.500
Cl 0.750 0.250 0.500

Properties
DOS(E_F) (states/eV per atom): 0.347
ΔE_f (raw) (eV/atom): 0.367
V (Å³ per atom): 17.0
Distance to the lowest polymorph of the same formula (meV per atom): 1030



Material: PmIn6Se8
Method: DFT, GGA-PBE
State: relaxed

Unit cell a=7.588 b=7.588 c=7.588 alpha=89.80 beta=89.80 gamma=89.80
Sites, in units of the cell vectors:
Pm 0.000 0.000 0.000
In 0.113 0.382 0.608
In 0.382 0.608 0.113
In 0.392 0.887 0.618
In 0.608 0.113 0.382
In 0.618 0.392 0.887
In 0.887 0.618 0.392
Se 0.167 0.689 0.825
Se 0.175 0.833 0.311
Se 0.311 0.175 0.833
Se 0.318 0.318 0.318
Se 0.682 0.682 0.682
Se 0.689 0.825 0.167
Se 0.825 0.167 0.689
Se 0.833 0.311 0.175

Properties
DOS(E_F) (states/eV per atom): 0.527
ΔE_f (raw) (eV/atom): -0.592
V (Å³ per atom): 29.1



Material: Ba2PuTcN5
Method: DFT, GGA-PBE
State: relaxed

Unit cell a=7.933 b=7.933 c=11.490 alpha=90.00 beta=90.00 gamma=153.87
Sites, in units of the cell vectors:
Ba 0.113 0.887 0.500
Ba 0.143 0.857 0.151
Ba 0.857 0.143 0.651
Ba 0.887 0.113 0.000
Pu 0.200 0.800 0.853
Pu 0.800 0.200 0.353
Tc 0.451 0.549 0.272
Tc 0.549 0.451 0.772
N 0.050 0.950 0.844
N 0.292 0.708 0.466
N 0.325 0.675 0.233
N 0.327 0.673 0.833
N 0.500 0.500 0.136
N 0.500 0.500 0.636
N 0.673 0.327 0.333
N 0.675 0.325 0.733
N 0.708 0.292 0.966
N 0.950 0.050 0.344

Properties
DOS(E_F) (states/eV per atom): 0.371
ΔE_f (raw) (eV/atom): -0.606
V (Å³ per atom): 17.7



Material: LaY6Tm2
Method: DFT, GGA-PBE
State: relaxed

Unit cell a=11.867 b=11.867 c=11.867 alpha=152.17 beta=131.44 gamma=56.89
Sites, in units of the cell vectors:
La 0.250 0.250 0.000
La 0.750 0.750 0.000
Y 0.003 0.354 0.686
Y 0.082 0.082 0.000
Y 0.168 0.854 0.351
Y 0.332 0.683 0.686
Y 0.418 0.418 0.000
Y 0.497 0.183 0.351
Y 0.503 0.817 0.649
Y 0.582 0.582 0.000
Y 0.668 0.317 0.314
Y 0.832 0.146 0.649
Y 0.918 0.918 0.000
Y 0.997 0.646 0.314
Tm 0.167 0.475 0.642
Tm 0.333 0.975 0.307
Tm 0.667 0.025 0.693
Tm 0.833 0.525 0.358

Properties
DOS(E_F) (states/eV per atom): 1.786
V (Å³ per atom): 32.3
Distance to the lowest polymorph of the same formula (meV per atom): 12
ΔH_f (0 K) (kcal/mol of atoms): 1.673



Material: SrDyCuRh
Method: DFT, GGA-PBE
State: relaxed

Unit cell a=5.018 b=5.018 c=5.018 alpha=60.00 beta=60.00 gamma=60.00
Sites, in units of the cell vectors:
Sr 0.000 0.000 0.000
Dy 0.500 0.500 0.500
Cu 0.750 0.750 0.750
Rh 0.250 0.250 0.250

Properties
DOS(E_F) (states/eV per atom): 0.410
V (Å³ per atom): 22.3
ΔH_f (0 K) (kcal/mol of atoms): -5.827



Material: NdMgAs2O8
Method: DFT, GGA-PBE
State: relaxed

Unit cell a=5.449 b=5.449 c=6.857 alpha=90.00 beta=90.00 gamma=120.00
Sites, in units of the cell vectors:
Nd 0.000 0.000 0.000
Mg 0.000 0.000 0.500
As 0.333 0.667 0.223
As 0.667 0.333 0.777
O 0.159 0.319 0.293
O 0.159 0.841 0.293
O 0.319 0.159 0.707
O 0.333 0.667 0.972
O 0.667 0.333 0.028
O 0.681 0.841 0.293
O 0.841 0.159 0.707
O 0.841 0.681 0.707

Properties
DOS(E_F) (states/eV per atom): 0.707
ΔE_f (raw) (eV/atom): -1.826
V (Å³ per atom): 14.7



Material: Pm12Y2Ho5
Method: DFT, GGA-PBE
State: relaxed

Unit cell a=9.222 b=9.222 c=8.709 alpha=91.36 beta=91.36 gamma=60.43
Sites, in units of the cell vectors:
Pm 0.062 0.062 0.342
Pm 0.067 0.677 0.326
Pm 0.166 0.529 0.762
Pm 0.323 0.933 0.674
Pm 0.415 0.415 0.117
Pm 0.471 0.834 0.238
Pm 0.529 0.166 0.762
Pm 0.585 0.585 0.883
Pm 0.677 0.067 0.326
Pm 0.834 0.471 0.238
Pm 0.933 0.323 0.674
Pm 0.938 0.938 0.658
Y 0.173 0.827 0.000
Y 0.827 0.173 0.000
Ho 0.201 0.201 0.024
Ho 0.269 0.269 0.432
Ho 0.500 0.500 0.500
Ho 0.731 0.731 0.568
Ho 0.799 0.799 0.976

Properties
DOS(E_F) (states/eV per atom): 1.457
V (Å³ per atom): 33.9
Distance to the lowest polymorph of the same formula (meV per atom): 0
ΔH_f (0 K) (kcal/mol of atoms): 2.876